DFT (GGA+U) results for crystalline MnSO3 at its relaxed geometry.

Values from the calculation:
Energy = -0.24799 Ha/atom
Magnetization = 30.000 μB per cell

Cell lengths 8.0472, 8.0471, 8.0472 Å; angles 109.25, 109.26, 109.26 degrees
Each line ends with the local moment (μB).
Fractional coordinates of all 30 atoms:
1 Mn 0.3190 0.6353 0.8145  4.67
2 Mn 0.6809 0.3646 0.1855  4.67
3 Mn 0.6353 0.8145 0.3191  4.67
4 Mn 0.3646 0.1855 0.6810  4.67
5 Mn 0.8145 0.3190 0.6353  4.67
6 Mn 0.1855 0.6809 0.3647  4.67
7 S 0.2112 0.3533 0.0247  0.02
8 S 0.6467 0.9753 0.7888  0.02
9 S 0.0247 0.2112 0.3533  0.02
10 S 0.7888 0.6467 0.9753  0.02
11 S 0.9753 0.7888 0.6467  0.02
12 S 0.3533 0.0247 0.2112  0.02
13 O 0.5561 0.2292 0.3413  0.03
14 O 0.7708 0.6587 0.4439  0.03
15 O 0.4439 0.7708 0.6587  0.03
16 O 0.3412 0.5561 0.2292  0.03
17 O 0.2292 0.3413 0.5561  0.03
18 O 0.6587 0.4439 0.7708  0.03
19 O 0.8793 0.5854 0.1325  0.03
20 O 0.8675 0.1207 0.4146  0.03
21 O 0.1325 0.8793 0.5854  0.03
22 O 0.5854 0.1325 0.8793  0.03
23 O 0.4146 0.8675 0.1207  0.03
24 O 0.1207 0.4146 0.8674  0.03
25 O 0.0193 0.6275 0.6876  0.03
26 O 0.9807 0.3725 0.3124  0.03
27 O 0.6275 0.6876 0.0193  0.03
28 O 0.3725 0.3124 0.9807  0.03
29 O 0.3124 0.9807 0.3725  0.03
30 O 0.6876 0.0193 0.6275  0.03